YTl2Co after structural relaxation, computed with PBE-GGA.

The value obtained for the final energy is -33.97 eV for the cell shown. The space group is I-42d, No. 122. For the energy of formation from the pure elements, the calculation gives 329 meV per atom.

abc: 4.3154 4.3154 11.0271
angles: 78.72 78.72 90.00
Each line ends with the local moment (μB).
Fractional positions:
Y1 0.0000 0.0000 0.0000  -0.12
Y2 0.7500 0.2500 0.5000  -0.12
Tl1 0.6049 0.1250 0.2500  -0.01
Tl2 0.1451 0.6250 0.2500  -0.01
Tl3 0.3750 0.3951 0.7500  -0.01
Tl4 0.8750 0.8549 0.7500  -0.01
Co1 0.5000 0.5000 0.0000  1.21
Co2 0.2500 0.7500 0.5000  1.22